(1)
## Al3Cu3Si2 (PBE)

Data for Al3Cu3Si2 after structural relaxation.

Unit cell a=7.557 b=7.557 c=4.608 alpha=90.00 beta=90.00 gamma=120.00
Fractional coordinates of all 16 atoms:
Cu 0.000 0.587 0.250
Si 0.667 0.333 0.500
Cu 0.587 0.000 0.250
Al 0.226 0.226 0.750
Si 0.667 0.333 0.000
Al 0.226 0.000 0.250
Al 0.774 0.774 0.250
Cu 0.413 0.000 0.750
Si 0.333 0.667 0.500
Cu 0.000 0.413 0.750
Al 0.774 0.000 0.750
Cu 0.587 0.587 0.750
Cu 0.413 0.413 0.250
Al 0.000 0.774 0.750
Si 0.333 0.667 0.000
Al 0.000 0.226 0.250

Summary:
Fermi-level density of states, states/eV per cell: 6.9
Symmetry: P6_3/mcm
Magnetization, μB per formula unit: 0.00


(2)
## Al3Cu3Si2 (PBE)

Data for Al3Cu3Si2 after structural relaxation.

Unit cell a=8.437 b=5.861 c=6.130 alpha=92.27 beta=53.24 gamma=84.16
Fractional coordinates of all 16 atoms:
Cu 0.941 0.376 0.878
Al 0.855 0.124 0.263
Cu 0.240 0.977 0.043
Cu 0.560 0.396 0.280
Si 0.067 0.305 0.383
Si 0.282 0.278 0.752
Cu 0.760 0.023 0.957
Si 0.933 0.695 0.617
Al 0.678 0.371 0.780
Cu 0.440 0.604 0.720
Cu 0.059 0.624 0.122
Al 0.145 0.876 0.737
Al 0.611 0.920 0.715
Al 0.322 0.629 0.220
Al 0.389 0.080 0.285
Si 0.718 0.722 0.248

Summary:
Fermi-level density of states, states/eV per cell: 5.0
Symmetry: P-1
Magnetization, μB per formula unit: 0.00


(1) is the least stable structure shown above.